(1)
Compound: CeTmMgAg
Source: the Alexandria database
Functional: GGA-PBE
Structure: optimized geometry

Values from the calculation:
energy of formation from the pure elements: -0.03 eV per atom
crystal system: cubic

a b c (Å): 5.275 5.275 5.275
angles (deg): 60.00 60.00 60.00
Atoms (fractional coordinates):
Tm1 0.500 0.500 0.500
Mg1 0.750 0.750 0.750
Ag1 0.250 0.250 0.250
Ce1 0.000 0.000 0.000



(2)
Compound: CeMg2Zn4Ag
Source: the Alexandria database
Functional: GGA-PBE
Structure: optimized geometry

Values from the calculation:
energy of formation from the pure elements: -0.12 eV per atom
crystal system: trigonal

a b c (Å): 4.569 4.569 8.986
angles (deg): 75.27 75.27 60.00
Atoms (fractional coordinates):
Zn1 0.126 0.126 0.621
Zn2 0.874 0.874 0.379
Zn3 0.607 0.607 0.179
Mg1 0.243 0.243 0.272
Ag1 0.500 0.500 0.500
Zn4 0.393 0.393 0.821
Ce1 0.000 0.000 0.000
Mg2 0.757 0.757 0.728



(3)
Compound: CeMg2Zn2Ag
Source: the Alexandria database
Functional: GGA-PBE
Structure: optimized geometry

Values from the calculation:
energy of formation from the pure elements: -0.17 eV per atom
crystal system: trigonal

a b c (Å): 4.725 4.725 6.406
angles (deg): 90.00 90.00 120.00
Atoms (fractional coordinates):
Mg1 0.667 0.333 0.334
Ag1 0.000 0.000 0.500
Zn1 0.333 0.667 0.210
Zn2 0.667 0.333 0.790
Mg2 0.333 0.667 0.666
Ce1 0.000 0.000 0.000



Number 1: total magnetic moment 0.268 μB/atom. Number 2: total magnetic moment 0.116 μB/atom. Number 3: total magnetic moment 0.128 μB/atom.